Compound: Ni5Os
Source: the Alexandria database
Functional: PBE
Structure: optimized geometry

Geometry as extended XYZ:
```
6
Lattice="2.574 0.000 0.000 -1.287 4.659 0.009 0.000 1.568 5.780" Properties=species:S:1:pos:R:3 pbc="T T T"
Ni 0.000 1.567 5.769
Ni 0.000 4.758 4.172
Ni 1.287 2.612 3.841
Ni 0.000 1.125 2.274
Ni 0.000 3.626 1.940
Os 1.287 2.150 0.330
```

Calculated values
The energy relative to the lowest polymorph listed for this composition comes out at 0.00 kcal/mol of atoms. The density comes out at 11.6 g cm⁻³. Its final energy is -39.6 eV per cell.

Compound: Ni7Os
Source: the Alexandria database
Functional: PBE
Structure: optimized geometry

Geometry as extended XYZ:
```
8
Lattice="-2.957 0.937 3.980 0.157 -3.033 4.029 2.028 1.644 4.318" Properties=species:S:1:pos:R:3 pbc="T T T"
Ni -1.400 -1.048 4.004
Ni 1.092 -0.695 4.173
Ni -0.465 1.290 4.149
Ni 0.078 -1.517 2.014
Ni -1.478 0.468 1.990
Ni 1.014 0.822 2.159
Ni -0.386 -0.226 6.163
Os 0.000 0.000 0.000
```

Calculated values
The density comes out at 11.0 g cm⁻³. Its final energy is -51.0 eV per cell.

Compound: Ni3Os
Source: the Alexandria database
Functional: PBE
Structure: optimized geometry

Geometry as extended XYZ:
```
8
Lattice="0.313 -7.323 2.368 -3.195 -4.825 5.084 -0.334 5.444 -5.439" Properties=species:S:1:pos:R:3 pbc="T T T"
Ni -0.010 -0.940 -1.536
Ni -0.356 -1.501 0.921
Ni -2.526 -10.647 6.531
Ni -0.731 -3.977 0.327
Ni -2.485 -2.727 1.685
Ni -1.765 0.310 -0.178
Os -1.077 -4.539 2.784
Os -1.805 -7.609 4.667
```

Calculated values
The density comes out at 12.9 g cm⁻³. Its final energy is -55.7 eV per cell.

Compound: NiP2Os
Source: the Alexandria database
Functional: PBE
Structure: optimized geometry

Geometry as extended XYZ:
```
8
Lattice="-4.718 0.099 2.090 -1.068 -4.548 -2.194 -1.100 -4.653 4.111" Properties=species:S:1:pos:R:3 pbc="T T T"
Ni -2.893 -2.224 -0.052
Ni -2.530 -5.713 0.932
Os 0.000 0.000 0.000
Os -4.355 -3.389 3.074
P -3.313 -1.671 2.040
P -1.577 -3.992 -0.063
P -3.005 -5.201 3.023
P -5.877 -7.339 3.013
```

Calculated values
The energy relative to the lowest polymorph listed for this composition comes out at 3.79 kcal/mol of atoms. The density comes out at 7.5 g cm⁻³. Its final energy is -56.5 eV per cell.

> Among the records above, which one has the highest final energy?

Ni5Os